A:
NbBiI2 | GGA-PBE | optimized geometry

Cell and atoms, written as POSCAR:
```
NbBiI2
1.0
0.000 3.752 3.752
3.752 0.000 3.752
3.752 3.752 0.000
Nb Bi I
1 1 2
direct
0.000 0.000 0.000
0.500 0.500 0.500
0.250 0.250 0.250
0.750 0.750 0.750
```

B:
NbBiI2 | GGA-PBE | optimized geometry

Cell and atoms, written as POSCAR:
```
NbBiI2
1.0
-5.075 5.075 2.816
5.075 -5.075 2.816
5.075 5.075 -2.816
Nb Bi I
2 2 4
direct
0.000 0.000 0.000
0.750 0.250 0.500
0.250 0.750 0.500
0.500 0.500 0.000
0.375 0.237 0.362
0.763 0.125 0.138
0.875 0.013 0.638
0.987 0.625 0.862
```

Which of them is the least stable? Correct choice: A.

A:
NiBi2I | GGA-PBE | optimized geometry

Cell and atoms, written as POSCAR:
```
NiBi2I
1.0
0.000 3.752 3.752
3.752 0.000 3.752
3.752 3.752 0.000
Ni Bi I
1 2 1
direct
0.000 0.000 0.000
0.250 0.250 0.250
0.750 0.750 0.750
0.500 0.500 0.500
```

B:
NiBi2I | GGA-PBE | optimized geometry

Cell and atoms, written as POSCAR:
```
NiBi2I
1.0
2.065 1.192 7.771
-2.065 1.192 7.771
0.000 -2.385 7.771
Ni Bi I
1 2 1
direct
0.000 0.000 0.000
0.280 0.280 0.280
0.720 0.720 0.720
0.500 0.500 0.500
```

Which of them is the least stable? Correct choice: A.

A:
NiBi2I | GGA-PBE | optimized geometry

Cell and atoms, written as POSCAR:
```
NiBi2I
1.0
-3.476 3.476 5.839
3.476 -3.476 5.839
3.476 3.476 -5.839
Ni Bi I
2 4 2
direct
0.000 0.000 0.000
0.750 0.250 0.500
0.022 0.625 0.897
0.375 0.272 0.397
0.728 0.125 0.103
0.875 0.978 0.603
0.250 0.750 0.500
0.500 0.500 0.000
```

B:
NiBi2I | GGA-PBE | optimized geometry

Cell and atoms, written as POSCAR:
```
NiBi2I
1.0
2.098 1.211 7.672
-2.098 1.211 7.672
0.000 -2.422 7.672
Ni Bi I
1 2 1
direct
0.000 0.000 0.000
0.387 0.387 0.387
0.616 0.616 0.616
0.832 0.832 0.832
```

Which of them is the least stable? Correct choice: A.

A:
NiBiI2 | GGA-PBE | optimized geometry

Cell and atoms, written as POSCAR:
```
NiBiI2
1.0
0.000 3.793 3.793
3.793 0.000 3.793
3.793 3.793 0.000
Ni Bi I
1 1 2
direct
0.000 0.000 0.000
0.500 0.500 0.500
0.250 0.250 0.250
0.750 0.750 0.750
```

B:
NiBiI2 | GGA-PBE | optimized geometry

Cell and atoms, written as POSCAR:
```
NiBiI2
1.0
1.948 1.125 9.325
-1.948 1.125 9.325
0.000 -2.250 9.325
Ni Bi I
1 1 2
direct
0.000 0.000 0.000
0.500 0.500 0.500
0.388 0.388 0.388
0.612 0.612 0.612
```

C:
NiBiI2 | GGA-PBE | optimized geometry

Cell and atoms, written as POSCAR:
```
NiBiI2
1.0
-3.615 3.615 4.954
3.615 -3.615 4.954
3.615 3.615 -4.954
Ni Bi I
2 2 4
direct
0.000 0.000 0.000
0.750 0.250 0.500
0.250 0.750 0.500
0.500 0.500 0.000
0.046 0.625 0.921
0.375 0.296 0.421
0.704 0.125 0.079
0.875 0.954 0.579
```

Which of them is the least stable? Correct choice: A.

A:
Ni2BiI | GGA-PBE | optimized geometry

Cell and atoms, written as POSCAR:
```
Ni2BiI
1.0
0.000 3.393 3.393
3.393 0.000 3.393
3.393 3.393 0.000
Ni Bi I
2 1 1
direct
0.250 0.250 0.250
0.750 0.750 0.750
0.000 0.000 0.000
0.500 0.500 0.500
```

B:
Ni2BiI | GGA-PBE | optimized geometry

Cell and atoms, written as POSCAR:
```
Ni2BiI
1.0
-3.072 3.072 5.253
3.072 -3.072 5.253
3.072 3.072 -5.253
Ni Bi I
4 2 2
direct
0.115 0.625 0.990
0.375 0.365 0.490
0.635 0.125 0.010
0.875 0.885 0.510
0.250 0.750 0.500
0.500 0.500 0.000
0.000 0.000 0.000
0.750 0.250 0.500
```

Which of them is the least stable? Correct choice: A.